Material: TbNd2Dy2
Method: DFT, PBE-GGA
State: relaxed

abc: 8.5678 8.5678 6.8334
angles: 103.13 103.13 43.42
Fractional positions:
Tb  0.0835  0.9165  0.7500
Tb  0.9165  0.0835  0.2500
Nd  0.1144  0.2845  0.6509
Nd  0.2845  0.1144  0.1509
Nd  0.7155  0.8856  0.8491
Nd  0.8856  0.7155  0.3491
Dy  0.3197  0.4850  0.0488
Dy  0.4850  0.3197  0.5488
Dy  0.5150  0.6803  0.4512
Dy  0.6803  0.5150  0.9512

Results
Symmetry: C2/c, No. 15
Crystal system: monoclinic


Material: Tb2Nd6Dy3
Method: DFT, PBE-GGA
State: relaxed

abc: 17.3301 17.3301 17.3301
angles: 164.15 164.15 22.48
Fractional positions:
Tb  0.0450  0.0450  0.0000
Tb  0.9550  0.9550  0.0000
Nd  0.1203  0.6203  0.5000
Nd  0.2039  0.2039  0.0000
Nd  0.3797  0.8797  0.5000
Nd  0.6203  0.1203  0.5000
Nd  0.7961  0.7961  0.0000
Nd  0.8797  0.3797  0.5000
Dy  0.3047  0.3047  0.0000
Dy  0.5000  0.5000  0.0000
Dy  0.6953  0.6953  0.0000

Results
Symmetry: I4/mmm, No. 139
Crystal system: tetragonal


Material: Tb4Nd3Dy8
Method: DFT, PBE-GGA
State: relaxed

abc: 9.2812 9.2812 6.7694
angles: 111.39 111.39 87.32
Fractional positions:
Tb  0.0000  0.0000  0.0000
Tb  0.0000  0.0000  0.5000
Tb  0.0000  0.5000  0.0000
Tb  0.5000  0.0000  0.0000
Nd  0.0000  0.5000  0.5000
Nd  0.5000  0.0000  0.5000
Nd  0.5000  0.5000  0.0000
Dy  0.2538  0.7462  0.0000
Dy  0.2621  0.2621  0.0150
Dy  0.2686  0.2686  0.4990
Dy  0.3586  0.6414  0.5000
Dy  0.6414  0.3586  0.5000
Dy  0.7314  0.7314  0.5010
Dy  0.7379  0.7379  0.9850
Dy  0.7462  0.2538  0.0000

Results
Symmetry: C2/m, No. 12
Crystal system: monoclinic


Material: TbNd4Dy
Method: DFT, PBE-GGA
State: relaxed

abc: 8.1295 8.1295 5.1536
angles: 90.00 90.00 143.02
Fractional positions:
Tb  0.0000  0.0000  0.0000
Nd  0.1652  0.8348  0.5000
Nd  0.3349  0.6651  0.0000
Nd  0.6651  0.3349  0.0000
Nd  0.8348  0.1652  0.5000
Dy  0.5000  0.5000  0.5000

Results
Symmetry: Cmmm, No. 65
Crystal system: orthorhombic


Material: Tb12NdDy3
Method: DFT, PBE-GGA
State: relaxed

abc: 5.0412 5.0412 20.1504
angles: 90.00 90.00 90.00
Fractional positions:
Tb  0.0000  0.0000  0.0000
Tb  0.0000  0.0000  0.2485
Tb  0.0000  0.0000  0.5000
Tb  0.0000  0.0000  0.7515
Tb  0.0000  0.5000  0.1244
Tb  0.0000  0.5000  0.3733
Tb  0.0000  0.5000  0.6267
Tb  0.0000  0.5000  0.8756
Tb  0.5000  0.0000  0.1244
Tb  0.5000  0.0000  0.3733
Tb  0.5000  0.0000  0.6267
Tb  0.5000  0.0000  0.8756
Nd  0.5000  0.5000  0.5000
Dy  0.5000  0.5000  0.0000
Dy  0.5000  0.5000  0.2490
Dy  0.5000  0.5000  0.7510

Results
Symmetry: P4/mmm, No. 123
Crystal system: tetragonal


Material: Tb2Nd3Dy3
Method: DFT, PBE-GGA
State: relaxed

abc: 10.8001 10.8001 10.8001
angles: 152.78 152.75 38.90
Fractional positions:
Tb  0.2495  0.2495  0.0000
Tb  0.7505  0.7505  0.0000
Nd  0.0000  0.0000  0.0000
Nd  0.3748  0.8748  0.5000
Nd  0.6252  0.1252  0.5000
Dy  0.1263  0.6263  0.5000
Dy  0.5000  0.5000  0.0000
Dy  0.8737  0.3737  0.5000

Results
Symmetry: Immm, No. 71
Crystal system: orthorhombic


Material: Tb3Nd5Dy3
Method: DFT, PBE-GGA
State: relaxed

abc: 11.2514 11.2514 3.4813
angles: 90.00 90.00 120.00
Fractional positions:
Tb  0.0000  0.4057  0.0000
Tb  0.4057  0.0000  0.0000
Tb  0.5943  0.5943  0.0000
Nd  0.0000  0.1620  0.5000
Nd  0.1620  0.0000  0.5000
Nd  0.3333  0.6667  0.5000
Nd  0.6667  0.3333  0.5000
Nd  0.8380  0.8380  0.5000
Dy  0.0000  0.6580  0.5000
Dy  0.3420  0.3420  0.5000
Dy  0.6580  0.0000  0.5000

Results
Symmetry: P-62m, No. 189
Crystal system: hexagonal


Material: TbNd2Dy9
Method: DFT, PBE-GGA
State: relaxed

abc: 11.2828 11.2828 3.4973
angles: 90.00 90.00 120.00
Fractional positions:
Tb  0.0000  0.0000  0.0000
Nd  0.3333  0.6667  0.0000
Nd  0.6667  0.3333  0.0000
Dy  0.0000  0.5000  0.0000
Dy  0.1737  0.3474  0.5000
Dy  0.1737  0.8263  0.5000
Dy  0.3474  0.1737  0.5000
Dy  0.5000  0.0000  0.0000
Dy  0.5000  0.5000  0.0000
Dy  0.6526  0.8263  0.5000
Dy  0.8263  0.1737  0.5000
Dy  0.8263  0.6526  0.5000

Results
Symmetry: P6/mmm, No. 191
Crystal system: hexagonal


Ordered DOS at the Fermi energy results: 17.37 16.23 29.22 8.83 21.52 12.10 18.88 18.45; unit states/eV per cell.
Ordered formation energy from the elements results: 0.022 0.291 0.383 0.018 0.017 0.019 0.334 0.065; unit eV per atom.